1.
First-principles (PBE) data for AcNd6Y2 after structural relaxation, as listed in the Alexandria database.

abc: 3.6993 3.6993 27.4634
angles: 90.00 90.00 120.00
Space group P-6m2 (No. 187)
Unique sites:
Ac1 0.0000 0.0000 0.0000 x1
Nd1 0.0000 0.0000 0.2245 x2
Nd2 0.0000 0.0000 0.4346 x2
Nd3 0.3333 0.6667 0.1164 x2
Y1 0.3333 0.6667 0.3319 x2

As for the formation energy: 0.063 eV per atom. Its energy above the most stable polymorph in this dataset is 0 meV per atom. The raw total energy comes out at -5.01 eV/atom.


2.
First-principles (PBE) data for AcNd3Y2 after structural relaxation, as listed in the Alexandria database.

abc: 11.2182 11.1111 6.8627
angles: 90.00 90.00 90.00
Space group Cmcm (No. 63)
Unique sites:
Ac1 0.0000 0.1039 0.2500 x4
Nd1 0.0000 0.4087 0.2500 x4
Nd2 0.2428 0.5000 0.0000 x8
Y1 0.1587 0.2496 0.7500 x8

As for the formation energy: 0.187 eV per atom. Its energy above the most stable polymorph in this dataset is 129 meV per atom. The raw total energy comes out at -5.04 eV/atom.


3.
First-principles (PBE) data for AcNd3Y7 after structural relaxation, as listed in the Alexandria database.

abc: 11.7847 10.0767 6.6059
angles: 90.00 94.80 90.00
Space group C2/m (No. 12)
Unique sites:
Ac1 0.0000 0.0000 0.0000 x2
Nd1 0.0000 0.3246 0.5000 x4
Nd2 0.0000 0.5000 0.0000 x2
Y1 0.0000 0.0000 0.5000 x2
Y2 0.2343 0.5000 0.6999 x4
Y3 0.2473 0.1721 0.7602 x8

As for the formation energy: 0.219 eV per atom. Its energy above the most stable polymorph in this dataset is 22 meV per atom. The raw total energy comes out at -5.57 eV/atom.


4.
First-principles (PBE) data for AcNdYZn after structural relaxation, as listed in the Alexandria database.

abc: 3.7178 3.7178 9.0500
angles: 90.00 90.00 90.00
Space group P4mm (No. 99)
Unique sites:
Ac1 0.0000 0.0000 0.0000 x1
Nd1 0.5000 0.5000 0.3100 x1
Y1 0.5000 0.5000 0.6986 x1
Zn1 0.0000 0.0000 0.5166 x1

As for the formation energy: -0.131 eV per atom. Its energy above the most stable polymorph in this dataset is 0 meV per atom. The raw total energy comes out at -4.28 eV/atom.


5.
First-principles (PBE) data for AcNdYZn after structural relaxation, as listed in the Alexandria database.

abc: 7.9169 7.9169 7.9169
angles: 90.00 90.00 90.00
Space group F-43m (No. 216)
Unique sites:
Ac1 0.0000 0.0000 0.0000 x4
Nd1 0.2500 0.2500 0.7500 x4
Y1 0.2500 0.2500 0.2500 x4
Zn1 0.0000 0.0000 0.5000 x4

As for the formation energy: 0.160 eV per atom. Its energy above the most stable polymorph in this dataset is 290 meV per atom. The raw total energy comes out at -3.99 eV/atom.


6.
First-principles (PBE) data for Ac2NdZn2 after structural relaxation, as listed in the Alexandria database.

abc: 3.8604 21.4664 3.8113
angles: 90.00 90.00 90.00
Space group Cmmm (No. 65)
Unique sites:
Ac1 0.0000 0.1698 0.0000 x4
Nd1 0.0000 0.0000 0.0000 x2
Zn1 0.0000 0.4229 0.5000 x4

As for the formation energy: -0.153 eV per atom. Its energy above the most stable polymorph in this dataset is 0 meV per atom. The raw total energy comes out at -3.26 eV/atom.


7.
First-principles (PBE) data for Ac2Nd2Zn after structural relaxation, as listed in the Alexandria database.

abc: 3.8713 3.8713 23.5725
angles: 90.00 90.00 90.00
Space group I4/mmm (No. 139)
Unique sites:
Ac1 0.0000 0.0000 0.0827 x4
Nd1 0.0000 0.0000 0.3008 x4
Zn1 0.0000 0.0000 0.5000 x2

As for the formation energy: -0.087 eV per atom. The raw total energy comes out at -3.89 eV/atom.


8.
First-principles (PBE) data for AcNd2Zn after structural relaxation, as listed in the Alexandria database.

abc: 3.8389 3.8389 32.0528
angles: 90.00 90.00 120.00
Space group R3m (No. 160, hexagonal axes)
Unique sites:
Ac1 0.0000 0.0000 0.0000 x3
Nd1 0.0000 0.0000 0.5668 x3
Nd2 0.0000 0.0000 0.7654 x3
Zn1 0.0000 0.0000 0.1658 x3

As for the formation energy: -0.023 eV per atom. Its energy above the most stable polymorph in this dataset is 114 meV per atom. The raw total energy comes out at -3.75 eV/atom.


Calculated values (states/eV per atom) of DOS(E_F) for the records, taken in order: 1.625 1.142 1.608 1.483 1.679 1.200 0.886 1.165.